Record 1
First-principles (PBE-GGA) data for a relaxed AcSm5In3 crystal, as listed in Alexandria.

Geometry as extended XYZ:
```
18
Lattice="6.973 0.000 0.000 0.000 9.638 0.000 0.000 -4.819 8.346" Properties=species:S:1:pos:R:3 pbc="T T T"
In 1.743 3.270 0.000
In 1.743 3.185 5.515
In 5.230 6.369 0.000
In 5.230 6.453 5.515
In 5.230 1.634 2.831
In 1.743 -1.634 2.831
Sm 5.230 3.205 5.552
Sm 1.743 -3.205 5.552
Sm 1.743 1.614 2.793
Sm 5.230 8.024 2.793
Sm 3.487 0.000 5.562
Sm 0.000 4.819 2.784
Sm 1.743 6.411 0.000
Sm 3.487 4.819 2.784
Sm 0.000 0.000 5.562
Sm 5.230 3.227 0.000
Ac 3.487 0.000 0.000
Ac 0.000 0.000 0.000
```

Properties
Fermi-level density of states in states/eV/atom: 1.405
Total energy in eV per atom: -4.31

***

Record 2
First-principles (PBE-GGA) data for a relaxed AcSmIn crystal, as listed in Alexandria.

Geometry as extended XYZ:
```
6
Lattice="4.992 0.000 0.000 0.000 4.992 0.000 0.000 0.000 8.551" Properties=species:S:1:pos:R:3 pbc="T T T"
Sm 0.000 0.000 4.276
Sm 2.496 2.496 4.276
In 2.496 0.000 6.420
In 0.000 2.496 2.131
Ac 0.000 2.496 7.282
Ac 2.496 0.000 1.269
```

Properties
Fermi-level density of states in states/eV/atom: 1.352
Total energy in eV per atom: -4.16
Offset from the most stable computed form in eV per atom: 0.000